AcCrAgF6 after structural relaxation, computed with GGA+U.

**E**: -5.511 eV/atom
**Total magnetic moment**: 4.01 μB/cell

Unit cell a=6.4039 b=6.4039 c=7.5924 alpha=90.00 beta=90.00 gamma=120.00
Space group P-31c (No. 163)
Inequivalent atoms, fractional coordinates:
Ac: 0.3333 0.6667 0.2500 x2
Cr: 0.3333 0.6667 0.7500 x2
Ag: 0.0000 0.0000 0.0000 x2
F: 0.0474 0.3818 0.6226 x12